Here is a geometry-optimized PuNi2RhO6 structure from Alexandria. Energies are from PBE+U.

Computed properties:
**Total magnetization**: 7.0 μB per formula unit
**Final energy**: -7.18 eV per atom
**Crystal system**: trigonal

Cell lengths 5.2698, 5.2698, 14.4031 Å; angles 90.00, 90.00, 120.00 degrees
Space group R3 (No. 146, hexagonal axes)
Inequivalent atoms, fractional coordinates:
Pu: 0.0000 0.0000 0.0000
Ni: 0.0000 0.0000 0.1991
Ni: 0.0000 0.0000 0.7017
Rh: 0.0000 0.0000 0.5041
O: 0.0055 0.6898 0.0987
O: 0.0404 0.3641 0.2617